[1]
Material: BiBSe2Br
Method: DFT, PBE
State: relaxed

Results
* uncorrected formation energy: 1.6941 eV per atom

Cell and atoms, written as CIF:
```
data_BiBSe2Br
_cell_length_a 5.1013
_cell_length_b 5.1013
_cell_length_c 5.7946
_cell_angle_alpha 90.00
_cell_angle_beta 90.00
_cell_angle_gamma 90.00
_symmetry_space_group_name_H-M 'P 4/m m m'
_symmetry_Int_Tables_number 123
_symmetry_space_group_name_Hall '-P 4 2'
loop_
_atom_site_label
_atom_site_type_symbol
_atom_site_fract_x
_atom_site_fract_y
_atom_site_fract_z
Bi1 Bi 0.0000 0.0000 0.0000
B1 B 0.5000 0.5000 0.0000
Se1 Se 0.0000 0.5000 0.5000
Br1 Br 0.0000 0.0000 0.5000
```

[2]
Material: La4ZnPI2
Method: DFT, PBE
State: relaxed

Results
* uncorrected formation energy: -1.0258 eV per atom

Cell and atoms, written as CIF:
```
data_La4ZnPI2
_cell_length_a 7.6533
_cell_length_b 4.2778
_cell_length_c 8.2312
_cell_angle_alpha 90.00
_cell_angle_beta 107.24
_cell_angle_gamma 90.00
_symmetry_space_group_name_H-M 'P 1 2/m 1'
_symmetry_Int_Tables_number 10
loop_
_symmetry_equiv_pos_as_xyz
'x,y,z'
'-x,-y,-z'
'-x,y,-z'
'x,-y,z'
loop_
_atom_site_label
_atom_site_type_symbol
_atom_site_fract_x
_atom_site_fract_y
_atom_site_fract_z
La1 La 0.2213 0.0000 0.2009
La2 La 0.2549 0.5000 0.7911
Zn1 Zn 0.5000 0.0000 0.0000
P1 P 0.0000 0.5000 0.0000
I1 I 0.0000 0.0000 0.5000
I2 I 0.5000 0.5000 0.5000
```

[3]
Material: SrSc3Cu
Method: DFT, PBE
State: relaxed

Results
* calculated formation energy: 0.16 eV per atom

Cell and atoms, written as CIF:
```
data_SrSc3Cu
_cell_length_a 5.1752
_cell_length_b 5.1752
_cell_length_c 5.1752
_cell_angle_alpha 90.00
_cell_angle_beta 90.00
_cell_angle_gamma 90.00
_symmetry_space_group_name_H-M 'P m -3 m'
_symmetry_Int_Tables_number 221
_symmetry_space_group_name_Hall '-P 4 2 3'
loop_
_atom_site_label
_atom_site_type_symbol
_atom_site_fract_x
_atom_site_fract_y
_atom_site_fract_z
Sr1 Sr 0.0000 0.0000 0.0000
Sc1 Sc 0.0000 0.5000 0.5000
Cu1 Cu 0.5000 0.5000 0.5000
```

[4]
Material: BiSb2Pb8
Method: DFT, PBE
State: relaxed

Results
* uncorrected formation energy: 0.0860 eV per atom

Cell and atoms, written as CIF:
```
data_BiSb2Pb8
_cell_length_a 16.0478
_cell_length_b 6.5911
_cell_length_c 6.8614
_cell_angle_alpha 90.00
_cell_angle_beta 98.03
_cell_angle_gamma 90.00
_symmetry_space_group_name_H-M 'C 1 2/m 1'
_symmetry_Int_Tables_number 12
loop_
_symmetry_equiv_pos_as_xyz
'x,y,z'
'-x,-y,-z'
'-x,y,-z'
'x,-y,z'
'x+1/2,y+1/2,z'
'-x+1/2,-y+1/2,-z'
'-x+1/2,y+1/2,-z'
'x+1/2,-y+1/2,z'
loop_
_atom_site_label
_atom_site_type_symbol
_atom_site_fract_x
_atom_site_fract_y
_atom_site_fract_z
Bi1 Bi 0.0000 0.0000 0.0000
Sb1 Sb 0.2457 0.0000 0.5206
Pb1 Pb 0.0891 0.2552 0.6587
Pb2 Pb 0.0957 0.5000 0.1411
Pb3 Pb 0.2165 0.0000 0.0547
```

[5]
Material: Er3CuO
Method: DFT, PBE
State: relaxed

Results
* uncorrected formation energy: -1.1399 eV per atom

Cell and atoms, written as CIF:
```
data_Er3CuO
_cell_length_a 4.6414
_cell_length_b 4.6414
_cell_length_c 4.6414
_cell_angle_alpha 90.00
_cell_angle_beta 90.00
_cell_angle_gamma 90.00
_symmetry_space_group_name_H-M 'P m -3 m'
_symmetry_Int_Tables_number 221
_symmetry_space_group_name_Hall '-P 4 2 3'
loop_
_atom_site_label
_atom_site_type_symbol
_atom_site_fract_x
_atom_site_fract_y
_atom_site_fract_z
Er1 Er 0.0000 0.0000 0.5000
Cu1 Cu 0.5000 0.5000 0.5000
O1 O 0.0000 0.0000 0.0000
```

[6]
Material: NpTiRu2
Method: DFT, PBE
State: relaxed

Results
* calculated formation energy: -0.31 eV per atom

Cell and atoms, written as CIF:
```
data_NpTiRu2
_cell_length_a 3.0969
_cell_length_b 3.0969
_cell_length_c 6.9341
_cell_angle_alpha 90.00
_cell_angle_beta 90.00
_cell_angle_gamma 90.00
_symmetry_space_group_name_H-M 'P 4/m m m'
_symmetry_Int_Tables_number 123
_symmetry_space_group_name_Hall '-P 4 2'
loop_
_atom_site_label
_atom_site_type_symbol
_atom_site_fract_x
_atom_site_fract_y
_atom_site_fract_z
Np1 Np 0.0000 0.0000 0.0000
Ti1 Ti 0.0000 0.0000 0.5000
Ru1 Ru 0.5000 0.5000 0.2802
```

[7]
Material: BaMgIn2Hg8
Method: DFT, PBE
State: relaxed

Results
* calculated formation energy: -0.13 eV per atom

Cell and atoms, written as CIF:
```
data_BaMgIn2Hg8
_cell_length_a 9.2119
_cell_length_b 6.2131
_cell_length_c 12.0139
_cell_angle_alpha 90.00
_cell_angle_beta 96.85
_cell_angle_gamma 90.00
_symmetry_space_group_name_H-M 'C 1 2/m 1'
_symmetry_Int_Tables_number 12
loop_
_symmetry_equiv_pos_as_xyz
'x,y,z'
'-x,-y,-z'
'-x,y,-z'
'x,-y,z'
'x+1/2,y+1/2,z'
'-x+1/2,-y+1/2,-z'
'-x+1/2,y+1/2,-z'
'x+1/2,-y+1/2,z'
loop_
_atom_site_label
_atom_site_type_symbol
_atom_site_fract_x
_atom_site_fract_y
_atom_site_fract_z
Ba1 Ba 0.0000 0.0000 0.0000
Mg1 Mg 0.0000 0.0000 0.5000
In1 In 0.2287 0.5000 0.1819
Hg1 Hg 0.0156 0.2454 0.2982
Hg2 Hg 0.1375 0.5000 0.9119
Hg3 Hg 0.1838 0.5000 0.5330
```

[8]
Material: InSiTe3
Method: DFT, PBE
State: relaxed

Results
* uncorrected formation energy: -0.2120 eV per atom

Cell and atoms, written as CIF:
```
data_InSiTe3
_cell_length_a 7.1453
_cell_length_b 12.3800
_cell_length_c 8.1070
_cell_angle_alpha 90.00
_cell_angle_beta 106.84
_cell_angle_gamma 90.00
_symmetry_space_group_name_H-M 'C 1 2/m 1'
_symmetry_Int_Tables_number 12
loop_
_symmetry_equiv_pos_as_xyz
'x,y,z'
'-x,-y,-z'
'-x,y,-z'
'x,-y,z'
'x+1/2,y+1/2,z'
'-x+1/2,-y+1/2,-z'
'-x+1/2,y+1/2,-z'
'x+1/2,-y+1/2,z'
loop_
_atom_site_label
_atom_site_type_symbol
_atom_site_fract_x
_atom_site_fract_y
_atom_site_fract_z
In1 In 0.0000 0.1667 0.0000
Si1 Si 0.0496 0.5000 0.1501
Te1 Te 0.2430 0.0000 0.2469
Te2 Te 0.2495 0.1692 0.7532
```

M_tot, respectively: 0.00; 0.00; 0.00; 0.00; 0.00; 3.09; 0.00; 0.00 Bohr magnetons per cell.
Density, respectively: 5.04; 5.84; 3.43; 9.75; 9.65; 12.16; 9.71; 5.09 g/cm³.